The following is a DFT calculation (PBE+U) of crystalline Na2MnNiO4 at its relaxed geometry.

Results
energy above the most stable polymorph in this dataset = 0.197 eV per atom
total moment = 0.62 μB per atom

Cell: 5.5534 12.4653 15.6754 Å, 90.00 90.00 90.00°
Space group Fddd (No. 70, origin choice 2)
Inequivalent atoms, fractional coordinates:
Na: 0.1250 0.1250 0.3087 (multiplicity 16)
Mn: 0.1250 0.1250 0.6250 (multiplicity 8)
Ni: 0.1250 0.1250 0.1250 (multiplicity 8)
O: 0.1162 0.2751 0.3835 (multiplicity 32)